Record 1
The following is a DFT calculation (PBE) of a relaxed structure of K4Na3Au2.

## Properties
Calculated formation energy = -1.4 eV per formula unit

Cell: 5.0046 8.2507 9.5513 Å, 107.59 105.19 90.00°
Closest atoms and distances in Å follow each position.
Element x y z (fractional)
Na  0.9041  0.7841  0.8083  2 Au 3.08, 1 Na 3.35
K  0.4196  0.1581  0.8393  2 Au 3.43-3.48, 2 Na 3.71
Au  0.3979  0.5621  0.7957  4 Na 3.08-3.27, 1 K 3.43
Na  0.0959  0.2159  0.1917  2 Au 3.08, 1 Na 3.35
Au  0.6021  0.4379  0.2043  4 Na 3.08-3.27, 1 K 3.43
Na  0.0000  0.5000  0.0000  4 Au 3.27, 2 Na 3.35
K  0.5804  0.8419  0.1607  2 Au 3.43-3.48, 2 Na 3.71
K  0.7718  0.3215  0.5436  3 Au 3.55-3.57, 3 Na 3.83-3.97
K  0.2282  0.6785  0.4564  3 Au 3.55-3.57, 3 Na 3.83-3.97



Record 2
The following is a DFT calculation (PBE) of a relaxed structure of LiCd2Rh.

## Properties
Calculated formation energy = -0.8 eV per formula unit

Cell: 5.0483 5.0483 5.0483 Å, 132.82 132.82 68.93°
Closest atoms and distances in Å follow each position.
Element x y z (fractional)
Rh  0.7500  0.2500  0.5000  8 Cd 2.86-2.90, 4 Li 2.90
Cd  0.0000  0.0000  0.0000  4 Li 2.86, 4 Cd 2.90, 4 Rh 2.90
Cd  0.2500  0.7500  0.5000  4 Rh 2.86, 4 Li 2.90, 4 Cd 2.90
Li  0.5000  0.5000  0.0000  8 Cd 2.86-2.90, 4 Rh 2.90



Record 3
The following is a DFT calculation (PBE) of a relaxed structure of Ac8GaSb3Te4.

## Properties
Energy relative to the elements, uncorrected = -1.30 eV per atom

Cell: 9.5314 9.5266 9.5313 Å, 120.02 120.00 90.00°
Closest atoms and distances in Å follow each position.
Element x y z (fractional)
Sb  0.5000  0.5000  0.5000  6 Ac 3.33-3.34
Ga  0.0000  0.5000  0.0000  6 Ac 3.23
Te  0.0000  0.0000  0.5000  6 Ac 3.41
Ac  0.2399  0.7347  0.9948  1 Ga 3.23, 2 Sb 3.34, 3 Te 3.41-3.51
Ac  0.2399  0.7347  0.4798  1 Ga 3.23, 2 Sb 3.34, 3 Te 3.41-3.51
Ac  0.7549  0.7347  0.9948  1 Ga 3.23, 2 Sb 3.34, 3 Te 3.41-3.51
Ac  0.2532  0.2598  0.5065  3 Sb 3.33, 3 Te 3.41
Sb  0.0000  0.5000  0.5000  6 Ac 3.33-3.34
Te  0.0000  0.0000  0.0000  6 Ac 3.41
Te  0.5000  0.0000  0.5000  6 Ac 3.41
Ac  0.2451  0.2653  0.0052  1 Ga 3.23, 2 Sb 3.34, 3 Te 3.41-3.51
Ac  0.7601  0.2653  0.0052  1 Ga 3.23, 2 Sb 3.34, 3 Te 3.41-3.51
Ac  0.7601  0.2653  0.5202  1 Ga 3.23, 2 Sb 3.34, 3 Te 3.41-3.51
Te  0.5000  0.0000  0.0000  6 Ac 3.51
Ac  0.7468  0.7402  0.4935  3 Sb 3.33, 3 Te 3.41
Sb  0.5000  0.5000  0.0000  6 Ac 3.33-3.34



Record 4
The following is a DFT calculation (PBE) of a relaxed structure of NbAlAg2B.

## Properties
Calculated formation energy = 5.9 eV per formula unit

Cell: 4.7930 3.9450 4.7930 Å, 90.00 90.00 90.00°
Closest atoms and distances in Å follow each position.
Element x y z (fractional)
Ag  0.0000  0.0000  0.5000  2 Al 2.40
Al  0.0000  0.0000  0.0000  2 B 1.97
B  0.0000  0.5000  0.0000  2 Al 1.97
Ag  0.5000  0.0000  0.0000  2 Al 2.40
Nb  0.5000  0.5000  0.5000  8 Ag 3.10, 4 B 3.39



Record 5
The following is a DFT calculation (PBE) of a relaxed structure of SbTe2Pb.

## Properties
Energy relative to the elements, uncorrected = 0.02 eV per atom

Cell: 5.5138 5.5138 5.5138 Å, 60.00 60.00 60.00°
Closest atoms and distances in Å follow each position.
Element x y z (fractional)
Te  0.2500  0.2500  0.2500  4 Pb 3.38, 4 Sb 3.38
Pb  0.5000  0.5000  0.5000  8 Te 3.38
Te  0.7500  0.7500  0.7500  4 Pb 3.38, 4 Sb 3.38
Sb  0.0000  0.0000  0.0000  8 Te 3.38



Record 6
The following is a DFT calculation (PBE) of a relaxed structure of V3OsSe.

## Properties
Energy relative to the elements, uncorrected = 0.98 eV per atom

Cell: 4.6857 4.6857 4.6857 Å, 90.00 90.00 90.00°
Closest atoms and distances in Å follow each position.
Element x y z (fractional)
Os  0.0000  0.0000  0.0000  6 V 2.34
V  0.0000  0.0000  0.5000  2 Os 2.34
V  0.5000  0.0000  0.0000  2 Os 2.34
Se  0.5000  0.5000  0.5000  12 V 3.31
V  0.0000  0.5000  0.0000  2 Os 2.34



Record 7
The following is a DFT calculation (PBE) of a relaxed structure of K2SiTc.

## Properties
Energy relative to the elements, uncorrected = 1.02 eV per atom

Cell: 2.8920 5.6858 5.3443 Å, 90.00 90.00 90.00°
Closest atoms and distances in Å follow each position.
Element x y z (fractional)
Tc  0.5000  0.5000  0.7500  2 Si 2.67, 2 Tc 2.89
K  0.0000  0.0000  0.5004  4 K 2.67-2.89
Si  0.5000  0.5000  0.2500  2 Tc 2.67, 2 Si 2.89
K  0.0000  0.0000  0.9996  4 K 2.67-2.89



Record 8
The following is a DFT calculation (PBE) of a relaxed structure of K2TcNi2.

## Properties
Calculated formation energy = 7.2 eV per formula unit

Cell: 7.5671 7.5671 7.5671 Å, 151.29 151.29 41.05°
Closest atoms and distances in Å follow each position.
Element x y z (fractional)
Tc  0.0000  0.0000  0.0000  8 Ni 2.87
K  0.2500  0.7500  0.5000  4 K 2.65
K  0.7500  0.2500  0.5000  4 K 2.65
Ni  0.4227  0.4227  0.0000  1 Ni 2.19
Ni  0.5773  0.5773  0.0000  1 Ni 2.19



Record 9
The following is a DFT calculation (PBE) of a relaxed structure of HgBrF2.

## Properties
Energy relative to the elements, uncorrected = -0.56 eV per atom

Cell: 10.1604 10.1604 10.1604 Å, 18.73 18.73 18.73°
Closest atoms and distances in Å follow each position.
Element x y z (fractional)
Br  0.5000  0.5000  0.5000  6 Br 3.31, 6 F 3.59
Hg  0.0000  0.0000  0.0000  2 F 1.96
F  0.9347  0.9347  0.9347  1 Hg 1.96
F  0.0653  0.0653  0.0653  1 Hg 1.96



Record 10
The following is a DFT calculation (PBE) of a relaxed structure of Y2Er2Ga4Ni.

## Properties
Calculated formation energy = -4.0 eV per formula unit

Cell: 6.4153 6.4153 6.4153 Å, 99.65 114.59 114.59°
Closest atoms and distances in Å follow each position.
Element x y z (fractional)
Ga  0.5214  0.7607  0.7607  1 Ni 2.35
Y  0.5000  0.7500  0.2500  8 Ga 3.21, 4 Er 3.50
Er  0.0000  0.3072  0.3072  1 Ni 2.54
Ni  0.0000  0.0000  0.0000  4 Ga 2.35, 2 Er 2.54
Ga  0.4786  0.2393  0.2393  1 Ni 2.35
Ga  0.0000  0.7607  0.2393  1 Ni 2.35
Er  0.0000  0.6928  0.6928  1 Ni 2.54
Y  0.5000  0.2500  0.7500  8 Ga 3.21, 4 Er 3.50
Ga  0.0000  0.2393  0.7607  1 Ni 2.35



Record 11
The following is a DFT calculation (PBE) of a relaxed structure of Sm6P2AuSe3.

## Properties
Energy relative to the elements, uncorrected = -1.60 eV per atom

Cell: 4.1281 8.4262 9.3382 Å, 103.05 102.77 90.00°
Closest atoms and distances in Å follow each position.
Element x y z (fractional)
Sm  0.3285  0.4266  0.6570  3 P 2.86-2.87, 3 Se 3.03-3.04
P  0.1674  0.3354  0.3347  6 Sm 2.86-2.87
Se  0.8341  0.1671  0.6683  6 Sm 2.91-3.04
Au  0.5000  0.0000  0.0000  6 Sm 2.97-3.01
Sm  0.0052  0.2552  0.0104  1 P 2.87, 3 Se 2.93-3.03, 2 Au 2.97
Sm  0.6715  0.5734  0.3429  3 P 2.86-2.87, 3 Se 3.03-3.04
P  0.8326  0.6646  0.6653  6 Sm 2.86-2.87
Se  0.5000  0.5000  0.0000  6 Sm 2.93-3.04
Sm  0.9948  0.7448  0.9896  1 P 2.87, 3 Se 2.93-3.03, 2 Au 2.97
Se  0.1659  0.8329  0.3317  6 Sm 2.91-3.04
Sm  0.6698  0.0995  0.3396  2 P 2.87, 3 Se 2.91-3.04, 1 Au 3.01
Sm  0.3302  0.9005  0.6604  2 P 2.87, 3 Se 2.91-3.04, 1 Au 3.01



Record 12
The following is a DFT calculation (PBE) of a relaxed structure of LaNiBr2.

## Properties
Energy relative to the elements, uncorrected = -0.92 eV per atom

Cell: 4.0153 3.9677 7.6425 Å, 74.97 90.00 90.00°
Closest atoms and distances in Å follow each position.
Element x y z (fractional)
Ni  0.5000  0.9700  0.6846  3 Br 2.52-2.53
Br  0.5000  0.1415  0.3422  1 Ni 2.53
La  0.0000  0.5210  0.5830  4 Ni 2.92, 2 Br 3.01
Br  0.0000  0.8676  0.8903  2 Ni 2.52



Record 13
The following is a DFT calculation (PBE) of a relaxed structure of KLiNi2.

## Properties
Calculated formation energy = 2.4 eV per formula unit

Cell: 3.0677 3.0677 7.4706 Å, 90.00 90.00 90.00°
Closest atoms and distances in Å follow each position.
Element x y z (fractional)
K  0.5000  0.5000  0.2500  4 K 3.07, 8 Ni 3.34
Ni  0.0000  0.0000  0.9100  1 Ni 2.39, 4 Li 2.48
Li  0.5000  0.5000  0.7500  8 Ni 2.48
Ni  0.0000  0.0000  0.5900  1 Ni 2.39, 4 Li 2.48



Record 14
The following is a DFT calculation (PBE) of a relaxed structure of Ba5Sb4.

## Properties
Energy relative to the elements, uncorrected = -1.05 eV per atom

Cell: 9.1463 9.1890 18.0021 Å, 90.00 90.00 90.00°
Closest atoms and distances in Å follow each position.
Element x y z (fractional)
Sb  0.6287  0.3913  0.2500  1 Sb 2.93
Ba  0.9279  0.1675  0.8975  6 Sb 3.51-3.86
Ba  0.4279  0.3325  0.8975  6 Sb 3.51-3.86
Ba  0.5721  0.6675  0.1025  6 Sb 3.51-3.86
Sb  0.7448  0.0065  0.0517  7 Ba 3.51-3.61
Ba  0.0721  0.8325  0.3975  6 Sb 3.51-3.86
Sb  0.7552  0.5065  0.9483  7 Ba 3.51-3.61
Ba  0.9096  0.3388  0.1052  6 Sb 3.51-3.91
Ba  0.4096  0.1612  0.3948  6 Sb 3.51-3.91
Ba  0.5904  0.8388  0.6052  6 Sb 3.51-3.91
Ba  0.4096  0.1612  0.1052  6 Sb 3.51-3.91
Ba  0.0904  0.6612  0.6052  6 Sb 3.51-3.91
Sb  0.8552  0.6171  0.2500  1 Sb 2.93
Sb  0.3552  0.8829  0.2500  1 Sb 2.93
Ba  0.0904  0.6612  0.8948  6 Sb 3.51-3.91
Ba  0.9279  0.1675  0.6025  6 Sb 3.51-3.86
Ba  0.4279  0.3325  0.6025  6 Sb 3.51-3.86
Ba  0.2427  0.4981  0.2500  6 Sb 3.57-3.73
Sb  0.8713  0.8913  0.7500  1 Sb 2.93
Sb  0.2552  0.9935  0.5517  7 Ba 3.51-3.61
Sb  0.6448  0.1171  0.7500  1 Sb 2.93
Sb  0.2448  0.4935  0.0517  7 Ba 3.51-3.61
Ba  0.5904  0.8388  0.8948  6 Sb 3.51-3.91
Ba  0.5721  0.6675  0.3975  6 Sb 3.51-3.86
Sb  0.1448  0.3829  0.7500  1 Sb 2.93
Sb  0.1287  0.1087  0.2500  1 Sb 2.93
Ba  0.7573  0.5019  0.7500  6 Sb 3.57-3.73
Sb  0.2552  0.9935  0.9483  7 Ba 3.51-3.61
Sb  0.7552  0.5065  0.5517  7 Ba 3.51-3.61
Sb  0.2448  0.4935  0.4483  7 Ba 3.51-3.61
Sb  0.3713  0.6087  0.7500  1 Sb 2.93
Ba  0.9096  0.3388  0.3948  6 Sb 3.51-3.91
Ba  0.2573  0.9981  0.7500  6 Sb 3.57-3.73
Ba  0.0721  0.8325  0.1025  6 Sb 3.51-3.86
Ba  0.7427  0.0019  0.2500  6 Sb 3.57-3.73
Sb  0.7448  0.0065  0.4483  7 Ba 3.51-3.61



Record 15
The following is a DFT calculation (PBE) of a relaxed structure of SrCaTe4Pb2.

## Properties
Energy relative to the elements, uncorrected = -1.03 eV per atom

Cell: 4.6422 8.0716 8.0419 Å, 70.63 90.00 90.00°
Closest atoms and distances in Å follow each position.
Element x y z (fractional)
Sr  0.5000  0.5000  0.0000  6 Te 3.31
Te  0.5000  0.7460  0.2576  2 Ca 3.25, 3 Pb 3.26-3.33, 1 Sr 3.31
Ca  0.0000  0.5000  0.5000  6 Te 3.24-3.25
Pb  0.5000  0.0000  0.5000  6 Te 3.26-3.27
Te  0.0000  0.2504  0.2565  1 Ca 3.24, 3 Pb 3.27-3.33, 2 Sr 3.31
Pb  0.0000  0.0000  0.0000  6 Te 3.33
Te  0.0000  0.7496  0.7435  1 Ca 3.24, 3 Pb 3.27-3.33, 2 Sr 3.31
Te  0.5000  0.2540  0.7424  2 Ca 3.25, 3 Pb 3.26-3.33, 1 Sr 3.31



Mass density for every record listed, in sequence, given in g/cm3: 2.8; 8.2; 7.5; 6.3; 8.2; 6.8; 3.9; 4.9; 5.6; 7.1; 7.5; 5.0; 3.9; 5.2; 6.1.
Energy for every record listed, in sequence, given in eV/atom: -1.810; -2.980; -5.104; -4.049; -3.504; -7.435; -3.480; -3.386; -1.984; -4.877; -6.009; -4.430; -3.049; -3.953; -3.986.